1 | ! Ac3In2Ga (PBE, relaxed); values from VASP
&SYSTEM
  ibrav = 0, nat = 6, ntyp = 3
/
ATOMIC_SPECIES
Ac 227.00 Ac.upf
In 114.82 In.upf
Ga 69.72 Ga.upf
CELL_PARAMETERS angstrom
4.021 0.000 0.000
0.000 4.021 0.000
0.000 0.000 12.302
ATOMIC_POSITIONS crystal
Ac 0.000 0.000 0.000
Ac 0.000 0.000 0.345
Ac 0.000 0.000 0.655
In 0.500 0.500 0.172
In 0.500 0.500 0.828
Ga 0.500 0.500 0.500
! space group	No. 123
! magnetic moment	0.00	μB per cell

---

2 | ! Ac3In2Ga (PBE, relaxed); values from VASP
&SYSTEM
  ibrav = 0, nat = 24, ntyp = 3
/
ATOMIC_SPECIES
Ac 227.00 Ac.upf
In 114.82 In.upf
Ga 69.72 Ga.upf
CELL_PARAMETERS angstrom
13.449 0.000 0.000
0.000 4.705 0.000
0.000 0.000 13.323
ATOMIC_POSITIONS crystal
Ac 0.062 0.250 0.118
Ac 0.115 0.750 0.550
Ac 0.212 0.250 0.789
Ac 0.288 0.750 0.289
Ac 0.385 0.250 0.050
Ac 0.438 0.750 0.618
Ac 0.562 0.250 0.382
Ac 0.615 0.750 0.950
Ac 0.712 0.250 0.711
Ac 0.788 0.750 0.211
Ac 0.885 0.250 0.450
Ac 0.938 0.750 0.882
In 0.023 0.750 0.309
In 0.198 0.750 0.993
In 0.302 0.250 0.493
In 0.477 0.250 0.809
In 0.523 0.750 0.191
In 0.698 0.750 0.507
In 0.802 0.250 0.007
In 0.977 0.250 0.691
Ga 0.137 0.250 0.355
Ga 0.363 0.750 0.855
Ga 0.637 0.250 0.145
Ga 0.863 0.750 0.645
! space group	No. 62
! magnetic moment	0.00	μB per cell

---

Which of them is least stable? Easy: 2.

---

1 | ! Ac2InGa2 (PBE, relaxed); values from VASP
&SYSTEM
  ibrav = 0, nat = 5, ntyp = 3
/
ATOMIC_SPECIES
Ac 227.00 Ac.upf
In 114.82 In.upf
Ga 69.72 Ga.upf
CELL_PARAMETERS angstrom
2.170 -7.263 0.000
2.170 7.263 0.000
0.000 0.000 4.670
ATOMIC_POSITIONS crystal
Ac 0.130 0.870 0.000
Ac 0.870 0.130 0.000
In 0.500 0.500 0.500
Ga 0.298 0.702 0.500
Ga 0.702 0.298 0.500
! space group	No. 65
! magnetic moment	0.00	μB per cell

---

2 | ! Ac2InGa2 (PBE, relaxed); values from VASP
&SYSTEM
  ibrav = 0, nat = 10, ntyp = 3
/
ATOMIC_SPECIES
Ac 227.00 Ac.upf
In 114.82 In.upf
Ga 69.72 Ga.upf
CELL_PARAMETERS angstrom
6.016 -2.401 0.000
6.016 2.401 0.000
-5.353 0.000 10.107
ATOMIC_POSITIONS crystal
Ac 0.004 0.004 0.176
Ac 0.184 0.184 0.600
Ac 0.816 0.816 0.400
Ac 0.996 0.996 0.824
In 0.286 0.286 0.149
In 0.714 0.714 0.851
Ga 0.362 0.362 0.938
Ga 0.477 0.477 0.608
Ga 0.523 0.523 0.392
Ga 0.638 0.638 0.062
! space group	No. 12
! magnetic moment	0.01	μB per cell

---

Which of them is least stable? Easy: 2.

---

1 | ! SrAcInGa (PBE, relaxed); values from VASP
&SYSTEM
  ibrav = 0, nat = 4, ntyp = 4
/
ATOMIC_SPECIES
Sr 87.62 Sr.upf
Ac 227.00 Ac.upf
In 114.82 In.upf
Ga 69.72 Ga.upf
CELL_PARAMETERS angstrom
0.000 4.017 4.017
4.017 0.000 4.017
4.017 4.017 0.000
ATOMIC_POSITIONS crystal
Sr 0.000 0.000 0.000
Ac 0.500 0.500 0.500
In 0.250 0.250 0.250
Ga 0.750 0.750 0.750
! space group	No. 216
! magnetic moment	0.00	μB per cell

---

2 | ! SrAcInGa (PBE, relaxed); values from VASP
&SYSTEM
  ibrav = 0, nat = 4, ntyp = 4
/
ATOMIC_SPECIES
Sr 87.62 Sr.upf
Ac 227.00 Ac.upf
In 114.82 In.upf
Ga 69.72 Ga.upf
CELL_PARAMETERS angstrom
4.536 0.000 0.000
0.000 2.418 6.176
0.000 -2.418 6.176
ATOMIC_POSITIONS crystal
Sr 0.000 0.000 0.000
Ac 0.500 0.281 0.281
In 0.500 0.574 0.574
Ga 0.000 0.717 0.717
! space group	No. 38
! magnetic moment	0.00	μB per cell

---

Which of them is least stable? Easy: 1.